1.
# Cr2ReAg (PBE, optimized geometry)
data_Cr2ReAg
_symmetry_space_group_name_H-M 'F m -3 m'
_symmetry_Int_Tables_number 225
_symmetry_space_group_name_Hall '-F 4 2 3'
_cell_length_a 6.149
_cell_length_b 6.149
_cell_length_c 6.149
_cell_angle_alpha 90.00
_cell_angle_beta 90.00
_cell_angle_gamma 90.00
loop_
_atom_site_label
_atom_site_type_symbol
_atom_site_fract_x
_atom_site_fract_y
_atom_site_fract_z
Cr1 Cr 0.250 0.250 0.250
Re1 Re 0.000 0.000 0.000
Ag1 Ag 0.000 0.000 0.500
# - size of the total moment (μB per formula unit) = 3.9
# - energy relative to the elements (eV per atom) = 0.497
# - excess energy over the best structure of this formula in the dataset (eV/atom) = 0.131



2.
# Cr3ReAg (PBE, optimized geometry)
data_Cr3ReAg
_symmetry_space_group_name_H-M 'P m -3 m'
_symmetry_Int_Tables_number 221
_symmetry_space_group_name_Hall '-P 4 2 3'
_cell_length_a 4.453
_cell_length_b 4.453
_cell_length_c 4.453
_cell_angle_alpha 90.00
_cell_angle_beta 90.00
_cell_angle_gamma 90.00
loop_
_atom_site_label
_atom_site_type_symbol
_atom_site_fract_x
_atom_site_fract_y
_atom_site_fract_z
Cr1 Cr 0.000 0.000 0.500
Re1 Re 0.500 0.500 0.500
Ag1 Ag 0.000 0.000 0.000
# - size of the total moment (μB per formula unit) = 0.0
# - energy relative to the elements (eV per atom) = 2.737
# - excess energy over the best structure of this formula in the dataset (eV/atom) = 1.407



3.
# Cr2ReAg (PBE, optimized geometry)
data_Cr2ReAg
_symmetry_space_group_name_H-M 'R 3 m'
_symmetry_Int_Tables_number 160
_symmetry_space_group_name_Hall 'R 3 -2"'
_cell_length_a 2.7479
_cell_length_b 2.7479
_cell_length_c 26.3285
_cell_angle_alpha 90.00
_cell_angle_beta 90.00
_cell_angle_gamma 120.00
loop_
_atom_site_label
_atom_site_type_symbol
_atom_site_fract_x
_atom_site_fract_y
_atom_site_fract_z
Cr1 Cr 0.0000 0.0000 0.0000
Cr2 Cr 0.0000 0.0000 0.2668
Re1 Re 0.0000 0.0000 0.5204
Ag1 Ag 0.0000 0.0000 0.7575
# - size of the total moment (μB per formula unit) = 0.8
# - energy relative to the elements (eV per atom) = 0.439
# - excess energy over the best structure of this formula in the dataset (eV/atom) = 0.073



4.
# Cr2ReAg (PBE, optimized geometry)
data_Cr2ReAg
_symmetry_space_group_name_H-M 'P 4/m m m'
_symmetry_Int_Tables_number 123
_symmetry_space_group_name_Hall '-P 4 2'
_cell_length_a 3.969
_cell_length_b 3.969
_cell_length_c 3.505
_cell_angle_alpha 90.00
_cell_angle_beta 90.00
_cell_angle_gamma 90.00
loop_
_atom_site_label
_atom_site_type_symbol
_atom_site_fract_x
_atom_site_fract_y
_atom_site_fract_z
Cr1 Cr 0.000 0.500 0.000
Re1 Re 0.000 0.000 0.500
Ag1 Ag 0.500 0.500 0.500
# - size of the total moment (μB per formula unit) = 0.0
# - energy relative to the elements (eV per atom) = 0.555
# - excess energy over the best structure of this formula in the dataset (eV/atom) = 0.189



5.
# Cr2ReAg (PBE, optimized geometry)
data_Cr2ReAg
_symmetry_space_group_name_H-M 'C m m 2'
_symmetry_Int_Tables_number 35
_cell_length_a 2.969
_cell_length_b 4.350
_cell_length_c 8.780
_cell_angle_alpha 90.00
_cell_angle_beta 90.00
_cell_angle_gamma 90.00
loop_
_symmetry_equiv_pos_as_xyz
'x,y,z'
'-x,-y,z'
'-x,y,z'
'x,-y,z'
'x+1/2,y+1/2,z'
'-x+1/2,-y+1/2,z'
'-x+1/2,y+1/2,z'
'x+1/2,-y+1/2,z'
loop_
_atom_site_label
_atom_site_type_symbol
_atom_site_fract_x
_atom_site_fract_y
_atom_site_fract_z
Cr1 Cr 0.000 0.000 0.000
Cr2 Cr 0.000 0.500 0.206
Re1 Re 0.000 0.500 0.764
Ag1 Ag 0.000 0.000 0.476
# - size of the total moment (μB per formula unit) = 0.0
# - energy relative to the elements (eV per atom) = 0.366
# - excess energy over the best structure of this formula in the dataset (eV/atom) = 0.000



6.
# Cr2ReAg (PBE, optimized geometry)
data_Cr2ReAg
_symmetry_space_group_name_H-M 'C 1 2/m 1'
_symmetry_Int_Tables_number 12
_cell_length_a 8.810
_cell_length_b 2.679
_cell_length_c 4.845
_cell_angle_alpha 90.00
_cell_angle_beta 99.12
_cell_angle_gamma 90.00
loop_
_symmetry_equiv_pos_as_xyz
'x,y,z'
'-x,-y,-z'
'-x,y,-z'
'x,-y,z'
'x+1/2,y+1/2,z'
'-x+1/2,-y+1/2,-z'
'-x+1/2,y+1/2,-z'
'x+1/2,-y+1/2,z'
loop_
_atom_site_label
_atom_site_type_symbol
_atom_site_fract_x
_atom_site_fract_y
_atom_site_fract_z
Cr1 Cr 0.246 0.000 0.233
Re1 Re 0.000 0.500 0.000
Ag1 Ag 0.000 0.000 0.500
# - size of the total moment (μB per formula unit) = 0.0
# - energy relative to the elements (eV per atom) = 0.614
# - excess energy over the best structure of this formula in the dataset (eV/atom) = 0.248



7.
# CrRe2Ag (PBE, optimized geometry)
data_CrRe2Ag
_symmetry_space_group_name_H-M 'C m m m'
_symmetry_Int_Tables_number 65
_symmetry_space_group_name_Hall '-C 2 2'
_cell_length_a 5.431
_cell_length_b 8.060
_cell_length_c 2.687
_cell_angle_alpha 90.00
_cell_angle_beta 90.00
_cell_angle_gamma 90.00
loop_
_atom_site_label
_atom_site_type_symbol
_atom_site_fract_x
_atom_site_fract_y
_atom_site_fract_z
Cr1 Cr 0.000 0.000 0.000
Re1 Re 0.250 0.250 0.500
Ag1 Ag 0.000 0.500 0.000
# - size of the total moment (μB per formula unit) = 0.4
# - energy relative to the elements (eV per atom) = 0.607
# - excess energy over the best structure of this formula in the dataset (eV/atom) = 0.263



8.
# CrRe2Ag (PBE, optimized geometry)
data_CrRe2Ag
_symmetry_space_group_name_H-M 'C 1 m 1'
_symmetry_Int_Tables_number 8
_cell_length_a 9.202
_cell_length_b 2.756
_cell_length_c 4.829
_cell_angle_alpha 90.00
_cell_angle_beta 101.36
_cell_angle_gamma 90.00
loop_
_symmetry_equiv_pos_as_xyz
'x,y,z'
'x,-y,z'
'x+1/2,y+1/2,z'
'x+1/2,-y+1/2,z'
loop_
_atom_site_label
_atom_site_type_symbol
_atom_site_fract_x
_atom_site_fract_y
_atom_site_fract_z
Cr1 Cr 0.000 0.000 0.000
Re1 Re 0.226 0.500 0.247
Re2 Re 0.478 0.000 0.466
Ag1 Ag 0.240 0.000 0.753
# - size of the total moment (μB per formula unit) = 1.5
# - energy relative to the elements (eV per atom) = 0.520
# - excess energy over the best structure of this formula in the dataset (eV/atom) = 0.175



9.
# CrReAg2 (PBE, optimized geometry)
data_CrReAg2
_symmetry_space_group_name_H-M 'R 3 m'
_symmetry_Int_Tables_number 160
_symmetry_space_group_name_Hall 'R 3 -2"'
_cell_length_a 2.8298
_cell_length_b 2.8298
_cell_length_c 27.6330
_cell_angle_alpha 90.00
_cell_angle_beta 90.00
_cell_angle_gamma 120.00
loop_
_atom_site_label
_atom_site_type_symbol
_atom_site_fract_x
_atom_site_fract_y
_atom_site_fract_z
Cr1 Cr 0.0000 0.0000 0.0000
Re1 Re 0.0000 0.0000 0.2666
Ag1 Ag 0.0000 0.0000 0.5088
Ag2 Ag 0.0000 0.0000 0.7517
# - size of the total moment (μB per formula unit) = 1.2
# - energy relative to the elements (eV per atom) = 0.383
# - excess energy over the best structure of this formula in the dataset (eV/atom) = 0.017



10.
# CrRe2Ag (PBE, optimized geometry)
data_CrRe2Ag
_symmetry_space_group_name_H-M 'P 4 m m'
_symmetry_Int_Tables_number 99
_cell_length_a 2.799
_cell_length_b 2.799
_cell_length_c 7.877
_cell_angle_alpha 90.00
_cell_angle_beta 90.00
_cell_angle_gamma 90.00
loop_
_symmetry_equiv_pos_as_xyz
'x,y,z'
'-y,x,z'
'-x,-y,z'
'y,-x,z'
'-x,y,z'
'y,x,z'
'x,-y,z'
'-y,-x,z'
loop_
_atom_site_label
_atom_site_type_symbol
_atom_site_fract_x
_atom_site_fract_y
_atom_site_fract_z
Cr1 Cr 0.000 0.000 0.000
Re1 Re 0.000 0.000 0.456
Re2 Re 0.500 0.500 0.222
Ag1 Ag 0.500 0.500 0.733
# - size of the total moment (μB per formula unit) = 2.4
# - energy relative to the elements (eV per atom) = 0.435
# - excess energy over the best structure of this formula in the dataset (eV/atom) = 0.090



11.
# CrReAg2 (PBE, optimized geometry)
data_CrReAg2
_symmetry_space_group_name_H-M 'C 1 2/m 1'
_symmetry_Int_Tables_number 12
_cell_length_a 9.835
_cell_length_b 2.800
_cell_length_c 4.686
_cell_angle_alpha 90.00
_cell_angle_beta 99.59
_cell_angle_gamma 90.00
loop_
_symmetry_equiv_pos_as_xyz
'x,y,z'
'-x,-y,-z'
'-x,y,-z'
'x,-y,z'
'x+1/2,y+1/2,z'
'-x+1/2,-y+1/2,-z'
'-x+1/2,y+1/2,-z'
'x+1/2,-y+1/2,z'
loop_
_atom_site_label
_atom_site_type_symbol
_atom_site_fract_x
_atom_site_fract_y
_atom_site_fract_z
Cr1 Cr 0.000 0.000 0.000
Re1 Re 0.000 0.500 0.500
Ag1 Ag 0.249 0.000 0.749
# - size of the total moment (μB per formula unit) = 2.1
# - energy relative to the elements (eV per atom) = 0.626
# - excess energy over the best structure of this formula in the dataset (eV/atom) = 0.260



12.
# CrRe2Ag (PBE, optimized geometry)
data_CrRe2Ag
_symmetry_space_group_name_H-M 'C 1 2/m 1'
_symmetry_Int_Tables_number 12
_cell_length_a 5.388
_cell_length_b 9.015
_cell_length_c 2.624
_cell_angle_alpha 90.00
_cell_angle_beta 111.25
_cell_angle_gamma 90.00
loop_
_symmetry_equiv_pos_as_xyz
'x,y,z'
'-x,-y,-z'
'-x,y,-z'
'x,-y,z'
'x+1/2,y+1/2,z'
'-x+1/2,-y+1/2,-z'
'-x+1/2,y+1/2,-z'
'x+1/2,-y+1/2,z'
loop_
_atom_site_label
_atom_site_type_symbol
_atom_site_fract_x
_atom_site_fract_y
_atom_site_fract_z
Cr1 Cr 0.000 0.000 0.000
Re1 Re 0.250 0.250 0.500
Ag1 Ag 0.000 0.500 0.000
# - size of the total moment (μB per formula unit) = 0.0
# - energy relative to the elements (eV per atom) = 0.602
# - excess energy over the best structure of this formula in the dataset (eV/atom) = 0.257



13.
# Cr2ReAg (PBE, optimized geometry)
data_Cr2ReAg
_symmetry_space_group_name_H-M 'C m m m'
_symmetry_Int_Tables_number 65
_symmetry_space_group_name_Hall '-C 2 2'
_cell_length_a 3.030
_cell_length_b 4.326
_cell_length_c 8.711
_cell_angle_alpha 90.00
_cell_angle_beta 90.00
_cell_angle_gamma 90.00
loop_
_atom_site_label
_atom_site_type_symbol
_atom_site_fract_x
_atom_site_fract_y
_atom_site_fract_z
Cr1 Cr 0.000 0.000 0.232
Re1 Re 0.000 0.500 0.000
Ag1 Ag 0.000 0.500 0.500
# - size of the total moment (μB per formula unit) = 0.0
# - energy relative to the elements (eV per atom) = 0.405
# - excess energy over the best structure of this formula in the dataset (eV/atom) = 0.038



14.
# CrRe2Ag (PBE, optimized geometry)
data_CrRe2Ag
_symmetry_space_group_name_H-M 'I 4/m m m'
_symmetry_Int_Tables_number 139
_symmetry_space_group_name_Hall '-I 4 2'
_cell_length_a 3.849
_cell_length_b 3.849
_cell_length_c 7.903
_cell_angle_alpha 90.00
_cell_angle_beta 90.00
_cell_angle_gamma 90.00
loop_
_atom_site_label
_atom_site_type_symbol
_atom_site_fract_x
_atom_site_fract_y
_atom_site_fract_z
Cr1 Cr 0.000 0.000 0.000
Re1 Re 0.000 0.500 0.250
Ag1 Ag 0.000 0.000 0.500
# - size of the total moment (μB per formula unit) = 0.0
# - energy relative to the elements (eV per atom) = 0.600
# - excess energy over the best structure of this formula in the dataset (eV/atom) = 0.256



15.
# Cr2ReAg (PBE, optimized geometry)
data_Cr2ReAg
_symmetry_space_group_name_H-M 'C 1 m 1'
_symmetry_Int_Tables_number 8
_cell_length_a 9.445
_cell_length_b 2.821
_cell_length_c 4.496
_cell_angle_alpha 90.00
_cell_angle_beta 111.00
_cell_angle_gamma 90.00
loop_
_symmetry_equiv_pos_as_xyz
'x,y,z'
'x,-y,z'
'x+1/2,y+1/2,z'
'x+1/2,-y+1/2,z'
loop_
_atom_site_label
_atom_site_type_symbol
_atom_site_fract_x
_atom_site_fract_y
_atom_site_fract_z
Cr1 Cr 0.000 0.000 0.000
Cr2 Cr 0.194 0.500 0.249
Re1 Re 0.452 0.000 0.455
Ag1 Ag 0.234 0.000 0.782
# - size of the total moment (μB per formula unit) = 0.0
# - energy relative to the elements (eV per atom) = 0.502
# - excess energy over the best structure of this formula in the dataset (eV/atom) = 0.136